Record 1
LiDyGePb: relaxed, PBE.

Lattice parameters (Å, degrees): 5.1039 5.1039 5.1039 60.00 60.00 60.00
Fractional coordinates of all 4 atoms:
Li  0.0000  0.0000  0.0000
Dy  0.5000  0.5000  0.5000
Ge  0.7500  0.7500  0.7500
Pb  0.2500  0.2500  0.2500

Calculated values
ΔE_f	-0.307	eV per atom
total energy	-4.02	eV/atom

=====

Record 2
LiDy2Ge4Pd3: relaxed, PBE.

Lattice parameters (Å, degrees): 4.1021 4.1021 10.9899 90.00 90.00 90.00
Fractional coordinates of all 10 atoms:
Li  0.0000  0.0000  0.0000
Dy  0.0000  0.5000  0.7596
Dy  0.5000  0.0000  0.2404
Ge  0.0000  0.0000  0.5000
Ge  0.0000  0.5000  0.1366
Ge  0.5000  0.0000  0.8634
Ge  0.5000  0.5000  0.5000
Pd  0.0000  0.5000  0.3603
Pd  0.5000  0.0000  0.6397
Pd  0.5000  0.5000  0.0000

Calculated values
ΔE_f	-0.719	eV per atom
total energy	-5.24	eV/atom

=====

Record 3
LiPrDyGe: relaxed, PBE.

Lattice parameters (Å, degrees): 5.1311 5.1311 5.1311 60.00 60.00 60.00
Fractional coordinates of all 4 atoms:
Li  0.0000  0.0000  0.0000
Pr  0.2500  0.2500  0.2500
Dy  0.7500  0.7500  0.7500
Ge  0.5000  0.5000  0.5000

Calculated values
ΔE_f	-0.409	eV per atom
total energy	-4.39	eV/atom

=====

Record 4
Li2Pr2DyGe2: relaxed, PBE.

Lattice parameters (Å, degrees): 10.0883 10.0883 10.0883 25.49 25.49 25.49
Fractional coordinates of all 7 atoms:
Li  0.1125  0.1125  0.1125
Li  0.8875  0.8875  0.8875
Pr  0.3777  0.3777  0.3777
Pr  0.6223  0.6223  0.6223
Dy  0.5000  0.5000  0.5000
Ge  0.2268  0.2268  0.2268
Ge  0.7732  0.7732  0.7732

Calculated values
ΔE_f	-0.488	eV per atom
total energy	-4.38	eV/atom

=====

Record 5
Li2PrDyGe2: relaxed, PBE.

Lattice parameters (Å, degrees): 4.4653 4.4653 7.4069 90.00 90.00 120.00
Fractional coordinates of all 6 atoms:
Li  0.3333  0.6667  0.2180
Li  0.6667  0.3333  0.7820
Pr  0.0000  0.0000  0.5000
Dy  0.0000  0.0000  0.0000
Ge  0.3333  0.6667  0.7640
Ge  0.6667  0.3333  0.2360

Calculated values
ΔE_f	-0.677	eV per atom
total energy	-4.42	eV/atom

=====

Record 6
LiDyGePt: relaxed, PBE.

Lattice parameters (Å, degrees): 4.6187 4.6187 4.6187 60.00 60.00 60.00
Fractional coordinates of all 4 atoms:
Li  0.0000  0.0000  0.0000
Dy  0.7500  0.7500  0.7500
Ge  0.2500  0.2500  0.2500
Pt  0.5000  0.5000  0.5000

Calculated values
ΔE_f	-0.843	eV per atom
polymorph energy (0 for the lowest one)	0	meV/atom
total energy	-5.14	eV/atom

=====

Record 7
LiDyGe2Pt2: relaxed, PBE.

Lattice parameters (Å, degrees): 4.3591 4.3591 6.4460 90.00 90.00 120.00
Fractional coordinates of all 6 atoms:
Li  0.0000  0.0000  0.0000
Dy  0.0000  0.0000  0.5000
Ge  0.3333  0.6667  0.7957
Ge  0.6667  0.3333  0.2043
Pt  0.3333  0.6667  0.2136
Pt  0.6667  0.3333  0.7864

Calculated values
ΔE_f	-0.889	eV per atom
total energy	-5.53	eV/atom

=====

Record 8
LiDy2Ge4Pt3: relaxed, PBE.

Lattice parameters (Å, degrees): 4.1334 4.1334 10.8495 90.00 90.00 90.00
Fractional coordinates of all 10 atoms:
Li  0.0000  0.0000  0.0000
Dy  0.0000  0.5000  0.7607
Dy  0.5000  0.0000  0.2393
Ge  0.0000  0.0000  0.5000
Ge  0.0000  0.5000  0.1347
Ge  0.5000  0.0000  0.8653
Ge  0.5000  0.5000  0.5000
Pt  0.0000  0.5000  0.3614
Pt  0.5000  0.0000  0.6386
Pt  0.5000  0.5000  0.0000

Calculated values
ΔE_f	-0.842	eV per atom
total energy	-5.61	eV/atom